# Rb3Ce2MgTe6

A relaxed Rb3Ce2MgTe6 crystal (PBE, the Alexandria database).

volume = 38.637 A^3/atom
formation energy without anion corrections = -1.189 eV/atom
total magnetization = 1.0 μB per formula unit
N(E_F) = 6.178 states/eV per cell
VASP energy = -4.124 eV per atom

```
12
Lattice="3.968 -6.873 0.000 3.968 6.873 0.000 -2.648 0.000 8.500" Properties=species:S:1:pos:R:3 pbc="T T T"
Rb 0.000 0.000 0.000
Rb 3.968 2.310 0.000
Rb 3.968 -2.310 0.000
Ce 2.644 4.584 4.250
Ce 2.644 -4.584 4.250
Mg 2.644 0.000 4.250
Te 1.351 2.242 2.576
Te 0.052 0.000 5.932
Te 1.351 -2.242 2.576
Te 3.938 2.242 5.924
Te 5.236 0.000 2.568
Te 3.938 -2.242 5.924
```